Mg3TaSn: optimized geometry, PBE-GGA.

a = 5.2246 Å, b = 5.2246 Å, c = 5.2246 Å
α = 90.00°, β = 90.00°, γ = 90.00°
Closest atoms and distances in Å follow each position.
Fractional positions:
Mg: 0.0000 0.0000 0.5000  2 Sn 2.61
Mg: 0.0000 0.5000 0.0000  2 Sn 2.61
Mg: 0.5000 0.0000 0.0000  2 Sn 2.61
Ta: 0.5000 0.5000 0.5000  12 Mg 3.69
Sn: 0.0000 0.0000 0.0000  6 Mg 2.61

Excess energy over the best structure of this formula in the dataset (meV per atom): 25
Energy relative to the elements (eV per atom): 1.22
Space group: No. 221